No. 1
VASP calculation (PBE) on a geometry-optimized ThCu2Sn structure.

- Fermi-level density of states: 0.670 states/eV/atom
- Energy of formation from the pure elements: -0.09 eV per atom

abc: 4.304 6.782 6.363
angles: 90.00 109.78 90.00
Element x y z (fractional)
Th  0.087  0.250  0.174
Th  0.913  0.750  0.826
Cu  0.754  0.421  0.508
Cu  0.246  0.579  0.492
Cu  0.754  0.079  0.508
Cu  0.246  0.921  0.492
Sn  0.622  0.750  0.244
Sn  0.378  0.250  0.756

***

No. 2
VASP calculation (PBE) on a geometry-optimized Th3Cu2Sn4 structure.

- Fermi-level density of states: 0.384 states/eV/atom
- Energy of formation from the pure elements: -0.44 eV per atom

abc: 4.545 6.271 8.869
angles: 103.12 90.00 111.25
Element x y z (fractional)
Th  0.655  0.311  0.669
Th  0.000  0.000  0.000
Th  0.345  0.689  0.331
Cu  0.579  0.157  0.260
Cu  0.421  0.843  0.740
Sn  0.718  0.436  0.079
Sn  0.282  0.564  0.921
Sn  0.922  0.844  0.607
Sn  0.078  0.156  0.393